(1)
A relaxed structure of MgCoCl4, computed with PBE-GGA.

As for the formation energy without anion corrections: -1190 meV/atom. The value obtained for the raw total energy is -3.871 eV per atom. For the energy above the most stable polymorph in this dataset, the calculation gives 0 meV/atom.

The structure in POSCAR format:
```
MgCoCl4
1.0
6.2550 0.0000 0.0000
0.0000 3.6092 0.0000
-0.4158 0.0000 6.6280
Mg Co Cl
1 1 4
Cartesian
0.0000 0.0000 0.0000
3.1275 1.8046 0.0000
0.6619 1.8046 5.2625
2.1293 0.0000 1.3349
3.7099 0.0000 5.2931
5.1773 1.8046 1.3655
```

(2)
A relaxed structure of MgCoCl2, computed with PBE-GGA.

As for the formation energy without anion corrections: -53 meV/atom. The value obtained for the raw total energy is -3.151 eV per atom. For the energy above the most stable polymorph in this dataset, the calculation gives 568 meV/atom.

The structure in POSCAR format:
```
MgCoCl2
1.0
4.5120 0.0000 0.0000
0.0000 4.5120 0.0000
0.0000 0.0000 3.2366
Mg Co Cl
1 1 2
Cartesian
0.0000 0.0000 0.0000
2.2560 2.2560 0.0000
0.0000 2.2560 1.6183
2.2560 0.0000 1.6183
```

(3)
A relaxed structure of MgCoCl, computed with PBE-GGA.

As for the formation energy without anion corrections: 100 meV/atom. The value obtained for the raw total energy is -3.416 eV per atom. For the energy above the most stable polymorph in this dataset, the calculation gives 754 meV/atom.

The structure in POSCAR format:
```
MgCoCl
1.0
3.9182 0.0000 0.0000
-1.9591 3.3932 0.0000
0.0000 0.0000 3.4419
Mg Co Cl
1 1 1
Cartesian
0.0000 0.0000 0.0000
0.0000 2.2622 1.7210
1.9591 1.1311 1.7210
```

(4)
A relaxed structure of MgCoCl2, computed with PBE-GGA.

As for the formation energy without anion corrections: -370 meV/atom. The value obtained for the raw total energy is -3.468 eV per atom. For the energy above the most stable polymorph in this dataset, the calculation gives 251 meV/atom.

The structure in POSCAR format:
```
MgCoCl2
1.0
3.2243 0.0000 0.0000
0.0000 7.1638 0.0000
0.0000 0.0000 9.1260
Mg Co Cl
2 2 4
Cartesian
0.0000 0.0000 0.0000
1.6121 3.5819 4.5630
0.0000 3.5819 2.2740
1.6121 0.0000 6.8370
0.0000 0.0000 5.2937
0.0000 3.5819 6.3161
1.6121 0.0000 1.7531
1.6121 3.5819 0.7307
```

(5)
A relaxed structure of MgCoCl3, computed with PBE-GGA.

As for the formation energy without anion corrections: -510 meV/atom. The value obtained for the raw total energy is -3.358 eV per atom. For the energy above the most stable polymorph in this dataset, the calculation gives 0 meV/atom.

The structure in POSCAR format:
```
MgCoCl3
1.0
4.7160 0.0000 0.0000
0.0000 4.7160 0.0000
0.0000 0.0000 4.7160
Mg Co Cl
1 1 3
Cartesian
0.0000 0.0000 0.0000
2.3580 2.3580 2.3580
0.0000 2.3580 2.3580
2.3580 0.0000 2.3580
2.3580 2.3580 0.0000
```

(6)
A relaxed structure of MgCoCl, computed with PBE-GGA.

As for the formation energy without anion corrections: 16 meV/atom. The value obtained for the raw total energy is -3.499 eV per atom. For the energy above the most stable polymorph in this dataset, the calculation gives 670 meV/atom.

The structure in POSCAR format:
```
MgCoCl
1.0
3.0753 0.0000 0.0000
0.0000 3.0753 0.0000
0.0000 0.0000 10.7891
Mg Co Cl
2 2 2
Cartesian
0.0000 0.0000 0.0000
1.5377 1.5377 5.3946
0.0000 0.0000 3.7618
1.5377 1.5377 9.1564
0.0000 0.0000 7.5695
1.5377 1.5377 2.1750
```

(7)
A relaxed structure of MgCoCl, computed with PBE-GGA.

As for the formation energy without anion corrections: 449 meV/atom. The value obtained for the raw total energy is -3.067 eV per atom. For the energy above the most stable polymorph in this dataset, the calculation gives 1103 meV/atom.

The structure in POSCAR format:
```
MgCoCl
1.0
6.0002 0.0000 0.0000
0.0000 6.0002 0.0000
0.0000 0.0000 6.0002
Mg Co Cl
4 4 4
Cartesian
0.0000 0.0000 0.0000
0.0000 3.0001 3.0001
3.0001 0.0000 3.0001
3.0001 3.0001 0.0000
1.5001 1.5001 1.5001
1.5001 4.5002 4.5002
4.5002 1.5001 4.5002
4.5002 4.5002 1.5001
0.0000 0.0000 3.0001
0.0000 3.0001 0.0000
3.0001 0.0000 0.0000
3.0001 3.0001 3.0001
```

(8)
A relaxed structure of MgCoCl4, computed with PBE-GGA.

As for the formation energy without anion corrections: 635 meV/atom. The value obtained for the raw total energy is -2.047 eV per atom. For the energy above the most stable polymorph in this dataset, the calculation gives 1825 meV/atom.

The structure in POSCAR format:
```
MgCoCl4
1.0
0.0000 4.1368 4.1368
4.1368 0.0000 4.1368
4.1368 4.1368 0.0000
Mg Co Cl
1 1 4
Cartesian
0.0000 0.0000 0.0000
2.0684 2.0684 2.0684
5.1688 3.1048 3.1048
3.1048 5.1688 3.1048
3.1048 3.1048 5.1688
5.1688 5.1688 5.1688
```

(9)
A relaxed structure of MgCoCl, computed with PBE-GGA.

As for the formation energy without anion corrections: -394 meV/atom. The value obtained for the raw total energy is -3.910 eV per atom. For the energy above the most stable polymorph in this dataset, the calculation gives 260 meV/atom.

The structure in POSCAR format:
```
MgCoCl
1.0
4.1237 0.0000 0.0000
0.0000 3.3520 0.0000
-2.0345 0.0000 8.4833
Mg Co Cl
2 2 2
Cartesian
-0.0020 0.8380 1.1699
2.0912 2.5140 7.3134
0.0281 0.8380 7.7031
2.0610 2.5140 0.7802
0.0281 2.5140 5.8585
2.0611 0.8380 2.6248
```

(10)
A relaxed structure of MgCoCl, computed with PBE-GGA.

As for the formation energy without anion corrections: -650 meV/atom. The value obtained for the raw total energy is -4.166 eV per atom. For the energy above the most stable polymorph in this dataset, the calculation gives 4 meV/atom.

The structure in POSCAR format:
```
MgCoCl
1.0
3.6848 0.0000 0.0000
1.8422 3.1913 0.0000
0.0427 2.0701 10.6345
Mg Co Cl
2 2 2
Cartesian
0.0000 0.0000 0.0000
1.8422 3.1923 3.9967
1.8416 1.0639 1.9984
3.6840 2.1277 1.9984
1.8856 3.1349 9.2215
1.8430 1.0654 5.4096
```

(11)
A relaxed structure of MgCoCl2, computed with PBE-GGA.

As for the formation energy without anion corrections: -240 meV/atom. The value obtained for the raw total energy is -3.338 eV per atom. For the energy above the most stable polymorph in this dataset, the calculation gives 381 meV/atom.

The structure in POSCAR format:
```
MgCoCl2
1.0
3.2668 0.0000 0.0000
0.0000 6.2293 0.0000
0.0000 0.0000 8.1499
Mg Co Cl
2 2 4
Cartesian
0.0000 0.0000 0.0000
1.6334 3.1146 0.0000
0.0000 0.0000 4.0750
1.6334 3.1146 4.0750
0.0000 3.1146 2.3916
0.0000 3.1146 5.7583
1.6334 0.0000 2.3916
1.6334 0.0000 5.7583
```

(12)
A relaxed structure of Mg2CoCl6, computed with PBE-GGA.

As for the formation energy without anion corrections: -1411 meV/atom. The value obtained for the raw total energy is -3.786 eV per atom.

The structure in POSCAR format:
```
Mg2CoCl6
1.0
6.2912 0.0000 0.0000
-3.1456 5.4483 0.0000
0.0000 0.0000 6.5604
Mg Co Cl
2 1 6
Cartesian
0.0000 3.6322 0.0000
3.1456 1.8161 0.0000
0.0000 0.0000 0.0000
-1.0265 1.7779 1.3572
-2.1191 3.6704 5.2032
2.0529 0.0000 1.3572
1.0265 1.7779 5.2032
4.2383 0.0000 5.2032
2.1191 3.6704 1.3572
```

(13)
A relaxed structure of MgMnCo2Cl, computed with PBE-GGA.

As for the formation energy without anion corrections: 1393 meV/atom. The value obtained for the raw total energy is -3.971 eV per atom.

The structure in POSCAR format:
```
MgMnCo2Cl
1.0
4.5401 0.0000 0.0000
0.0000 4.5401 0.0000
0.0000 0.0000 5.0407
Mg Mn Co Cl
1 1 2 1
Cartesian
0.0000 0.0000 0.0000
0.0000 0.0000 2.5203
0.0000 2.2701 0.0000
2.2701 0.0000 0.0000
2.2701 2.2701 2.5203
```

(14)
A relaxed structure of MgMn2CoCl, computed with PBE-GGA.

As for the formation energy without anion corrections: 1341 meV/atom. The value obtained for the raw total energy is -4.436 eV per atom.

The structure in POSCAR format:
```
MgMn2CoCl
1.0
5.1243 0.0000 0.0000
0.0000 5.1243 0.0000
0.0000 0.0000 4.6331
Mg Mn Co Cl
1 2 1 1
Cartesian
0.0000 0.0000 0.0000
0.0000 2.5622 0.0000
2.5622 0.0000 0.0000
2.5622 2.5622 2.3166
0.0000 0.0000 2.3166
```

(15)
A relaxed structure of Na2MgCoCl6, computed with PBE-GGA.

As for the formation energy without anion corrections: -1386 meV/atom. The value obtained for the raw total energy is -3.628 eV per atom.

The structure in POSCAR format:
```
Na2MgCoCl6
1.0
3.3507 1.9345 5.7193
-3.3507 1.9345 5.7193
0.0000 -3.8690 5.7193
Na Mg Co Cl
2 1 1 6
Cartesian
0.0000 0.0000 0.0000
0.0000 0.0000 8.5812
0.0000 0.0000 3.6303
0.0000 0.0000 12.2042
-1.3192 -2.2933 7.7755
-1.9748 0.3212 10.6773
-1.3264 2.2891 7.7755
0.7093 -1.8709 10.6773
2.6457 0.0042 7.7755
1.2656 1.5497 10.6773
```

(16)
A relaxed structure of NaMgCo2Cl8, computed with PBE-GGA.

As for the formation energy without anion corrections: -1003 meV/atom. The value obtained for the raw total energy is -3.661 eV per atom.

The structure in POSCAR format:
```
NaMgCo2Cl8
1.0
3.1319 1.8082 9.1047
-3.1319 1.8082 9.1047
0.0000 -3.6165 9.1047
Na Mg Co Cl
1 1 2 8
Cartesian
0.0000 0.0000 0.0000
0.0000 0.0000 13.6570
0.0000 0.0000 6.7082
0.0000 0.0000 20.6058
-0.9995 -1.7815 12.1510
-2.0425 -0.0251 15.1630
0.0000 0.0000 8.8871
-1.0430 1.7563 12.1510
1.0430 -1.7563 15.1630
0.0000 0.0000 18.4269
2.0426 0.0251 12.1510
0.9995 1.7815 15.1630
```

(17)
A relaxed structure of MgCoPCl2, computed with PBE-GGA.

As for the formation energy without anion corrections: -102 meV/atom. The value obtained for the raw total energy is -3.662 eV per atom. For the energy above the most stable polymorph in this dataset, the calculation gives 0 meV/atom.

The structure in POSCAR format:
```
MgCoPCl2
1.0
4.6984 0.0000 0.0000
0.0000 4.6984 0.0000
0.0000 0.0000 4.4142
Mg Co P Cl
1 1 1 2
Cartesian
0.0000 0.0000 0.0000
2.3492 2.3492 2.2071
2.3492 2.3492 0.0000
0.0000 2.3492 2.2071
2.3492 0.0000 2.2071
```

(18)
A relaxed structure of MgCoPCl2, computed with PBE-GGA.

As for the formation energy without anion corrections: 256 meV/atom. The value obtained for the raw total energy is -3.305 eV per atom. For the energy above the most stable polymorph in this dataset, the calculation gives 358 meV/atom.

The structure in POSCAR format:
```
MgCoPCl2
1.0
4.5250 0.0000 0.0000
0.0000 4.5250 0.0000
0.0000 0.0000 6.1486
Mg Co P Cl
1 1 1 2
Cartesian
0.0000 0.0000 0.0000
2.2625 2.2625 3.0743
0.0000 0.0000 3.0743
0.0000 2.2625 0.0000
2.2625 0.0000 0.0000
```

(19)
A relaxed structure of MgCoP2Cl, computed with PBE-GGA.

As for the formation energy without anion corrections: 928 meV/atom. The value obtained for the raw total energy is -3.346 eV per atom. For the energy above the most stable polymorph in this dataset, the calculation gives 885 meV/atom.

The structure in POSCAR format:
```
MgCoP2Cl
1.0
4.8436 0.0000 0.0000
0.0000 4.8436 0.0000
0.0000 0.0000 4.7758
Mg Co P Cl
1 1 2 1
Cartesian
0.0000 0.0000 0.0000
2.4218 2.4218 2.3879
0.0000 2.4218 0.0000
2.4218 0.0000 0.0000
0.0000 0.0000 2.3879
```

(20)
A relaxed structure of MgCoP2Cl, computed with PBE-GGA.

As for the formation energy without anion corrections: 43 meV/atom. The value obtained for the raw total energy is -4.230 eV per atom. For the energy above the most stable polymorph in this dataset, the calculation gives 0 meV/atom.

The structure in POSCAR format:
```
MgCoP2Cl
1.0
4.1177 0.0000 0.0000
0.0000 4.1177 0.0000
0.0000 0.0000 6.5413
Mg Co P Cl
1 1 2 1
Cartesian
0.0000 0.0000 0.0000
2.0589 2.0589 3.2706
0.0000 2.0589 3.2706
2.0589 0.0000 3.2706
2.0589 2.0589 0.0000
```

(21)
A relaxed structure of RbMgCoCl2, computed with PBE-GGA.

As for the formation energy without anion corrections: -439 meV/atom. The value obtained for the raw total energy is -3.111 eV per atom.

The structure in POSCAR format:
```
RbMgCoCl2
1.0
5.1297 0.0000 0.0000
0.0000 5.1297 0.0000
0.0000 0.0000 4.9268
Rb Mg Co Cl
1 1 1 2
Cartesian
0.0000 0.0000 0.0000
2.5649 2.5649 0.0000
2.5649 2.5649 2.4634
0.0000 2.5649 2.4634
2.5649 0.0000 2.4634
```

(22)
A relaxed structure of Rb2MgCoCl6, computed with PBE-GGA.

As for the formation energy without anion corrections: -1434 meV/atom. The value obtained for the raw total energy is -3.606 eV per atom.

The structure in POSCAR format:
```
Rb2MgCoCl6
1.0
-3.6529 3.6529 4.5469
3.6529 -3.6529 4.5469
3.6529 3.6529 -4.5469
Rb Mg Co Cl
2 1 1 6
Cartesian
3.6529 0.0000 2.2735
0.0000 3.6529 2.2735
0.0000 0.0000 0.0000
0.0000 0.0000 4.5469
1.8306 1.8306 0.0000
1.8224 -1.8224 4.5469
0.0000 0.0000 2.3271
0.0000 0.0000 6.7667
-1.8224 1.8224 4.5469
1.8224 1.8224 4.5469
```

(23)
A relaxed structure of MgCoS2Cl, computed with PBE-GGA.

As for the formation energy without anion corrections: -185 meV/atom. The value obtained for the raw total energy is -3.946 eV per atom. For the energy above the most stable polymorph in this dataset, the calculation gives 0 meV/atom.

The structure in POSCAR format:
```
MgCoS2Cl
1.0
4.4753 0.0000 0.0000
0.0000 4.4753 0.0000
0.0000 0.0000 4.6634
Mg Co S Cl
1 1 2 1
Cartesian
0.0000 0.0000 0.0000
2.2377 2.2377 2.3317
0.0000 2.2377 2.3317
2.2377 0.0000 2.3317
2.2377 2.2377 0.0000
```

(24)
A relaxed structure of Mg2CoSbCl, computed with PBE-GGA.

As for the formation energy without anion corrections: -269 meV/atom. The value obtained for the raw total energy is -3.522 eV per atom.

The structure in POSCAR format:
```
Mg2CoSbCl
1.0
5.0808 0.0000 0.0000
0.0000 5.0808 0.0000
0.0000 0.0000 4.5608
Mg Co Sb Cl
2 1 1 1
Cartesian
0.0000 2.5404 0.0000
2.5404 0.0000 0.0000
0.0000 0.0000 0.0000
0.0000 0.0000 2.2804
2.5404 2.5404 2.2804
```

(25)
A relaxed structure of MgSc2CoCl, computed with PBE-GGA.

As for the formation energy without anion corrections: -234 meV/atom. The value obtained for the raw total energy is -4.876 eV per atom.

The structure in POSCAR format:
```
MgSc2CoCl
1.0
4.7352 0.0000 0.0000
0.0000 4.7352 0.0000
0.0000 0.0000 5.0946
Mg Sc Co Cl
1 2 1 1
Cartesian
0.0000 0.0000 0.0000
0.0000 2.3676 2.5473
2.3676 0.0000 2.5473
0.0000 0.0000 2.5473
2.3676 2.3676 0.0000
```

(26)
A relaxed structure of MgTlCoCl6, computed with PBE-GGA.

As for the formation energy without anion corrections: -1084 meV/atom. The value obtained for the raw total energy is -3.545 eV per atom.

The structure in POSCAR format:
```
MgTlCoCl6
1.0
6.2679 0.0000 0.0000
-3.1339 5.4281 0.0000
0.0000 0.0000 7.1083
Mg Tl Co Cl
1 1 1 6
Cartesian
0.0000 0.0000 0.0000
3.1339 1.8094 3.5542
0.0000 3.6188 0.0000
-0.8216 1.9621 1.3265
-1.8456 3.7356 5.7818
0.8216 1.9621 5.7818
-1.0239 5.1586 1.3265
1.8456 3.7356 1.3265
1.0239 5.1586 5.7818
```

(27)
A relaxed structure of MnCoCl4, computed with PBE-GGA.

As for the formation energy without anion corrections: 987 meV/atom. The value obtained for the raw total energy is -2.957 eV per atom. For the energy above the most stable polymorph in this dataset, the calculation gives 1788 meV/atom.

The structure in POSCAR format:
```
MnCoCl4
1.0
0.0000 4.1081 4.1081
4.1081 0.0000 4.1081
4.1081 4.1081 0.0000
Mn Co Cl
1 1 4
Cartesian
0.0000 0.0000 0.0000
2.0540 2.0540 2.0540
5.1321 3.0841 3.0841
3.0841 5.1321 3.0841
3.0841 3.0841 5.1321
5.1321 5.1321 5.1321
```

(28)
A relaxed structure of MnCoCl2, computed with PBE-GGA.

As for the formation energy without anion corrections: -230 meV/atom. The value obtained for the raw total energy is -5.222 eV per atom. For the energy above the most stable polymorph in this dataset, the calculation gives 71 meV/atom.

The structure in POSCAR format:
```
MnCoCl2
1.0
13.4960 0.0000 0.0000
0.0000 3.4113 0.0000
-0.3668 0.0000 3.9916
Mn Co Cl
2 2 4
Cartesian
0.0000 0.0000 0.0000
6.7480 1.7056 0.0000
-0.1834 1.7056 1.9958
6.5646 0.0000 1.9958
1.6738 1.7056 0.8227
4.7073 0.0000 3.1690
8.4218 0.0000 0.8227
11.4553 1.7056 3.1690
```